Here is a relaxed structure of Rb2AlBSe4 from the Alexandria database. Energies are from PBE.

abc: 5.828 7.583 12.698
angles: 84.94 76.73 67.40
Fractional positions:
Rb: 0.180 0.000 0.640
Rb: 0.820 0.000 0.360
Rb: 0.570 0.500 0.860
Rb: 0.930 0.500 0.140
Al: 0.750 0.500 0.500
Al: 0.000 0.000 0.000
B: 0.250 0.500 0.500
B: 0.500 0.000 0.000
Se: 0.323 0.828 0.098
Se: 0.248 0.172 0.902
Se: 0.850 0.828 0.902
Se: 0.579 0.172 0.098
Se: 0.427 0.672 0.402
Se: 0.502 0.328 0.598
Se: 0.900 0.672 0.598
Se: 0.171 0.328 0.402

Values from the calculation:
energy relative to the elements, uncorrected = -853 meV per atom
VASP energy = -4.139 eV per atom
space group = Fddd (70)